A relaxed K4Sm3MoO8 crystal. Source: the Alexandria database, functional GGA+U.

a = 7.0304 Å, b = 7.0304 Å, c = 18.7708 Å
α = 90.00°, β = 90.00°, γ = 120.00°
Space group R-3m (No. 166, hexagonal axes)
One atom of each set of equivalent atoms:
K 0.0000 0.0000 0.0000 x3
K 0.0000 0.5000 0.0000 x9
Sm 0.0000 0.5000 0.5000 x9
Mo 0.0000 0.0000 0.5000 x3
O 0.0000 0.0000 0.2302 x6
O 0.0123 0.5062 0.2292 x18

Crystal system = trigonal
Uncorrected energy = -6.463 eV/atom